A plane-wave DFT calculation with GGA-PBE was carried out for a geometry-optimized LaCrMoC3 structure.

POSCAR file:
```
LaCrMoC3
1.0
7.0567 0.0000 0.0000
0.0000 3.3394 0.0000
-2.3237 0.0000 7.2577
La Cr Mo C
2 2 2 6
direct
0.2003 0.2500 0.2118
0.7997 0.7500 0.7882
0.1052 0.2500 0.6117
0.8948 0.7500 0.3883
0.3543 0.7500 0.8702
0.6457 0.2500 0.1298
0.1226 0.2500 0.8563
0.1783 0.7500 0.5344
0.4595 0.7500 0.1537
0.5405 0.2500 0.8463
0.8217 0.2500 0.4656
0.8774 0.7500 0.1437
```

Summary:
- total magnetization (Bohr magnetons per cell) = 0.00
- calculated formation energy (eV/atom) = 0.1166
- crystal system = monoclinic
- total DFT energy (no corrections) (eV/atom) = -8.726